1.
Here is an optimized crystal structure of LaNbBi2Te from Alexandria. Energies are from PBEsol.

raw formation energy: -0.3 eV/f.u.

abc: 5.4716 5.4716 5.3173
angles: 90.00 90.00 90.00
Space group P4/mmm (No. 123)
Unique sites:
La (0.0000, 0.0000, 0.0000) (multiplicity 1)
Nb (0.5000, 0.5000, 0.5000) (multiplicity 1)
Bi (0.0000, 0.5000, 0.5000) (multiplicity 2)
Te (0.5000, 0.5000, 0.0000) (multiplicity 1)

2.
Here is an optimized crystal structure of La3Ni3Bi4 from Alexandria. Energies are from PBEsol.

energy of formation from the pure elements: -0.68 eV/atom

abc: 9.8165 9.8165 9.8165
angles: 90.00 90.00 90.00
Space group I-43d (No. 220)
Unique sites:
La (0.0000, 0.2500, 0.3750) (multiplicity 12)
Ni (0.0000, 0.2500, 0.8750) (multiplicity 12)
Bi (0.0779, 0.0779, 0.0779) (multiplicity 16)

3.
Here is an optimized crystal structure of La2Ni2Bi from Alexandria. Energies are from PBEsol.

energy of formation from the pure elements: -0.52 eV/atom

abc: 7.4337 7.4337 4.0201
angles: 90.00 90.00 90.00
Space group P4/mbm (No. 127)
Unique sites:
La (0.1791, 0.3209, 0.0000) (multiplicity 4)
Ni (0.1154, 0.6154, 0.5000) (multiplicity 4)
Bi (0.0000, 0.0000, 0.5000) (multiplicity 2)

4.
Here is an optimized crystal structure of La2Bi4O9 from Alexandria. Energies are from PBEsol.

raw formation energy: -29.7 eV/f.u.

abc: 18.0573 3.9864 6.8967
angles: 90.00 98.50 90.00
Space group C2 (No. 5)
Unique sites:
La (0.2433, 0.0000, 0.2485) (multiplicity 4)
Bi (0.0766, 0.5211, 0.3674) (multiplicity 4)
Bi (0.0826, 0.9995, 0.8377) (multiplicity 4)
O (0.0000, 0.9541, 0.5000) (multiplicity 2)
O (0.0993, 0.9747, 0.1819) (multiplicity 4)
O (0.1062, 0.5022, 0.7027) (multiplicity 4)
O (0.1967, 0.5004, 0.4071) (multiplicity 4)
O (0.2022, 0.0022, 0.8876) (multiplicity 4)

5.
Here is an optimized crystal structure of LaBi5O9 from Alexandria. Energies are from PBEsol.

raw formation energy: -23.6 eV/f.u.

abc: 18.1693 3.9460 6.8646
angles: 90.00 98.96 90.00
Space group Cm (No. 8)
Unique sites:
La (0.0000, 0.0000, 0.0000) (multiplicity 2)
Bi (0.0104, 0.5000, 0.5013) (multiplicity 2)
Bi (0.1744, 0.5000, 0.9157) (multiplicity 2)
Bi (0.1794, 0.0000, 0.3924) (multiplicity 2)
Bi (0.3343, 0.0000, 0.1189) (multiplicity 2)
Bi (0.3389, 0.5000, 0.5844) (multiplicity 2)
O (0.0556, 0.5000, 0.8651) (multiplicity 2)
O (0.0612, 0.0000, 0.3494) (multiplicity 2)
O (0.1523, 0.0000, 0.0557) (multiplicity 2)
O (0.1617, 0.5000, 0.5704) (multiplicity 2)
O (0.2644, 0.5000, 0.2531) (multiplicity 2)
O (0.3605, 0.5000, 0.9362) (multiplicity 2)
O (0.3663, 0.0000, 0.4548) (multiplicity 2)
O (0.4547, 0.0000, 0.1656) (multiplicity 2)
O (0.4590, 0.5000, 0.6325) (multiplicity 2)

6.
Here is an optimized crystal structure of LaBi2O4 from Alexandria. Energies are from PBEsol.

raw formation energy: -13.2 eV/f.u.

abc: 3.9681 3.9681 27.1857
angles: 90.00 90.00 120.00
Space group R-3m (No. 166, hexagonal axes)
Unique sites:
La (0.0000, 0.0000, 0.0000) (multiplicity 3)
Bi (0.0000, 0.0000, 0.2208) (multiplicity 6)
O (0.0000, 0.0000, 0.0967) (multiplicity 6)
O (0.0000, 0.0000, 0.2995) (multiplicity 6)

7.
Here is an optimized crystal structure of La2Bi2O7 from Alexandria. Energies are from PBEsol.

raw formation energy: -23.8 eV/f.u.

abc: 11.1230 11.1230 11.1230
angles: 90.00 90.00 90.00
Space group Fd-3m (No. 227, origin choice 2)
Unique sites:
La (0.0000, 0.0000, 0.0000) (multiplicity 16)
Bi (0.0000, 0.0000, 0.5000) (multiplicity 16)
O (0.0938, 0.3750, 0.8750) (multiplicity 48)
O (0.1250, 0.1250, 0.1250) (multiplicity 8)

8.
Here is an optimized crystal structure of La2Bi2O7 from Alexandria. Energies are from PBEsol.

raw formation energy: -23.6 eV/f.u.

abc: 8.1418 5.9659 14.2754
angles: 90.00 101.27 90.00
Space group P2_1 (No. 4)
Unique sites:
La (0.1354, 0.0000, 0.0647) (multiplicity 2)
La (0.2658, 0.4344, 0.4365) (multiplicity 2)
La (0.2749, 0.9289, 0.6089) (multiplicity 2)
La (0.3420, 0.4589, 0.8900) (multiplicity 2)
Bi (0.0239, 0.4228, 0.6205) (multiplicity 2)
Bi (0.0682, 0.9349, 0.8166) (multiplicity 2)
Bi (0.4292, 0.4591, 0.1760) (multiplicity 2)
Bi (0.4498, 0.9521, 0.3427) (multiplicity 2)
O (0.0129, 0.5541, 0.3232) (multiplicity 2)
O (0.0700, 0.2168, 0.9112) (multiplicity 2)
O (0.0700, 0.6855, 0.5147) (multiplicity 2)
O (0.1035, 0.6198, 0.7557) (multiplicity 2)
O (0.1422, 0.7271, 0.9430) (multiplicity 2)
O (0.1829, 0.3260, 0.1695) (multiplicity 2)
O (0.2327, 0.0390, 0.4272) (multiplicity 2)
O (0.2985, 0.3192, 0.6000) (multiplicity 2)
O (0.3131, 0.0894, 0.8073) (multiplicity 2)
O (0.3780, 0.7937, 0.1350) (multiplicity 2)
O (0.4202, 0.2741, 0.0481) (multiplicity 2)
O (0.4281, 0.5468, 0.3210) (multiplicity 2)
O (0.4343, 0.6798, 0.7550) (multiplicity 2)
O (0.4518, 0.6951, 0.5394) (multiplicity 2)

9.
Here is an optimized crystal structure of La3BiO from Alexandria. Energies are from PBEsol.

raw formation energy: -7.9 eV/f.u.

abc: 4.9996 4.9996 4.9996
angles: 90.00 90.00 90.00
Space group Pm-3m (No. 221)
Unique sites:
La (0.0000, 0.0000, 0.5000) (multiplicity 3)
Bi (0.5000, 0.5000, 0.5000) (multiplicity 1)
O (0.0000, 0.0000, 0.0000) (multiplicity 1)

10.
Here is an optimized crystal structure of La3Bi3O11 from Alexandria. Energies are from PBEsol.

raw formation energy: -35.1 eV/f.u.

abc: 10.0078 10.0078 10.0078
angles: 90.00 90.00 90.00
Space group Pn-3 (No. 201, origin choice 2)
Unique sites:
La (0.0000, 0.0000, 0.0000) (multiplicity 4)
La (0.1222, 0.1222, 0.3778) (multiplicity 8)
Bi (0.0831, 0.7500, 0.2500) (multiplicity 12)
O (0.0314, 0.0604, 0.7526) (multiplicity 24)
O (0.1114, 0.7500, 0.7500) (multiplicity 12)
O (0.1472, 0.1472, 0.1472) (multiplicity 8)

11.
Here is an optimized crystal structure of LaBiS2O from Alexandria. Energies are from PBEsol.

raw formation energy: -8.9 eV/f.u.

abc: 4.0010 4.0010 13.9244
angles: 90.00 90.00 90.00
Space group P4/nmm (No. 129, origin choice 2)
Unique sites:
La (0.2500, 0.2500, 0.0894) (multiplicity 2)
Bi (0.2500, 0.2500, 0.6296) (multiplicity 2)
S (0.2500, 0.2500, 0.3939) (multiplicity 2)
S (0.2500, 0.2500, 0.8096) (multiplicity 2)
O (0.2500, 0.7500, 0.0000) (multiplicity 2)

12.
Here is an optimized crystal structure of LaTaBi2O7 from Alexandria. Energies are from PBEsol.

raw formation energy: -25.2 eV/f.u.

abc: 7.6245 7.7746 10.9617
angles: 90.00 90.00 90.00
Space group Imma (No. 74)
Unique sites:
La (0.2500, 0.2500, 0.2500) (multiplicity 4)
Ta (0.0000, 0.0000, 0.0000) (multiplicity 4)
Bi (0.0000, 0.0000, 0.5000) (multiplicity 4)
Bi (0.2500, 0.2500, 0.7500) (multiplicity 4)
O (0.0000, 0.2500, 0.0269) (multiplicity 4)
O (0.0000, 0.2500, 0.3709) (multiplicity 4)
O (0.0000, 0.2500, 0.6305) (multiplicity 4)
O (0.1924, 0.0101, 0.8763) (multiplicity 16)